LiErCdF6 after structural relaxation, computed with PBE.

abc: 5.0577 5.0577 10.1776
angles: 90.00 90.00 90.00
Closest atoms and distances in Å follow each position.
Positions (direct):
Li: 0.0000 0.0000 0.0000  6 F 2.12-2.19
Li: 0.5000 0.5000 0.5000  6 F 2.12-2.19
Er: 0.0000 0.0000 0.6620  6 F 2.17-2.18
Er: 0.5000 0.5000 0.1620  6 F 2.17-2.18
Cd: 0.0000 0.0000 0.3299  6 F 2.23-2.30
Cd: 0.5000 0.5000 0.8299  6 F 2.23-2.30
F: 0.1876 0.1876 0.8306  1 Er 2.18, 1 Li 2.19, 1 Cd 2.23
F: 0.1969 0.1969 0.1556  1 Li 2.12, 1 Er 2.17, 1 Cd 2.27
F: 0.2041 0.2041 0.5040  1 Li 2.12, 1 Er 2.17, 1 Cd 2.30
F: 0.2959 0.7041 0.0040  1 Li 2.12, 1 Er 2.17, 1 Cd 2.30
F: 0.3031 0.6969 0.6556  1 Li 2.12, 1 Er 2.17, 1 Cd 2.27
F: 0.3124 0.6876 0.3306  1 Er 2.18, 1 Li 2.19, 1 Cd 2.23
F: 0.6876 0.3124 0.3306  1 Er 2.18, 1 Li 2.19, 1 Cd 2.23
F: 0.6969 0.3031 0.6556  1 Li 2.12, 1 Er 2.17, 1 Cd 2.27
F: 0.7041 0.2959 0.0040  1 Li 2.12, 1 Er 2.17, 1 Cd 2.30
F: 0.7959 0.7959 0.5040  1 Li 2.12, 1 Er 2.17, 1 Cd 2.30
F: 0.8031 0.8031 0.1556  1 Li 2.12, 1 Er 2.17, 1 Cd 2.27
F: 0.8124 0.8124 0.8306  1 Er 2.18, 1 Li 2.19, 1 Cd 2.23

formation energy without anion corrections	-3199	meV/atom
uncorrected energy	-5.2678	eV per atom
calculated density	5.11	Mg/m³

BaHgAs2 after structural relaxation, computed with PBE.

abc: 5.4643 4.0845 5.5665
angles: 90.00 103.28 90.00
Closest atoms and distances in Å follow each position.
Positions (direct):
Ba: 0.0000 0.0000 0.0000  7 As 3.40-3.61, 4 Hg 3.58
Hg: 0.4531 0.5000 0.7979  4 As 3.10-3.42
As: 0.6193 0.0000 0.4041  2 As 2.57
As: 0.9118 0.5000 0.4710  2 As 2.57

uncorrected energy	-3.3625	eV per atom
calculated density	6.70	Mg/m³

CaBe4Se3O12 after structural relaxation, computed with PBE.

abc: 6.3169 6.3169 6.3169
angles: 105.00 105.00 105.00
Closest atoms and distances in Å follow each position.
Positions (direct):
Ca: 0.0000 0.0000 0.0000  6 O 2.50
Be: 0.0632 0.5000 0.9368  3 O 1.54-1.55
Be: 0.5000 0.5000 0.5000  3 O 1.55
Be: 0.5000 0.9368 0.0632  3 O 1.54-1.55
Be: 0.9368 0.0632 0.5000  3 O 1.54-1.55
Se: 0.0000 0.5517 0.4483  6 O 1.87-2.09
Se: 0.4483 0.0000 0.5517  6 O 1.87-2.09
Se: 0.5517 0.4483 0.0000  6 O 1.87-2.09
O: 0.0243 0.6301 0.7621  1 Be 1.54
O: 0.0912 0.9088 0.5000  1 Be 1.55
O: 0.2379 0.3699 0.9757  1 Be 1.54
O: 0.3452 0.6548 0.5000  1 Be 1.55
O: 0.3699 0.9757 0.2379  1 Be 1.54
O: 0.5000 0.0912 0.9088  1 Be 1.55
O: 0.5000 0.3452 0.6548  1 Be 1.55
O: 0.6301 0.7621 0.0243  1 Be 1.54
O: 0.6548 0.5000 0.3452  1 Be 1.55
O: 0.7621 0.0243 0.6301  1 Be 1.54
O: 0.9088 0.5000 0.0912  1 Be 1.55
O: 0.9757 0.2379 0.3699  1 Be 1.54

formation energy without anion corrections	-1484	meV/atom
uncorrected energy	-5.8270	eV per atom
calculated density	3.80	Mg/m³

Pt4Rh3 after structural relaxation, computed with PBE.

abc: 5.0545 5.0545 4.9954
angles: 90.00 90.00 120.00
Closest atoms and distances in Å follow each position.
Positions (direct):
Pt: 0.0000 0.0000 0.2453  2 Pt 2.45-2.54
Pt: 0.0000 0.0000 0.7547  2 Pt 2.45-2.54
Pt: 0.3333 0.6667 0.0000  6 Rh 2.89, 9 Pt 2.92-3.17
Pt: 0.6667 0.3333 0.0000  6 Rh 2.89, 9 Pt 2.92-3.17
Rh: 0.0000 0.5000 0.5000  4 Rh 2.53, 4 Pt 2.83
Rh: 0.5000 0.0000 0.5000  4 Rh 2.53, 4 Pt 2.83
Rh: 0.5000 0.5000 0.5000  4 Rh 2.53, 4 Pt 2.83

uncorrected energy	-6.2799	eV per atom
calculated density	16.36	Mg/m³
offset from the most stable computed form	349	meV/atom

Y2Zn3Cu12Ni after structural relaxation, computed with PBE.

abc: 9.5933 9.5933 9.5933
angles: 37.11 37.11 37.11
Closest atoms and distances in Å follow each position.
Positions (direct):
Y: 0.1493 0.1493 0.1493  6 Cu 2.98-3.03
Y: 0.8507 0.8507 0.8507  6 Cu 2.98-3.03
Zn: 0.0000 0.5000 0.5000  6 Cu 2.40-2.65
Zn: 0.5000 0.0000 0.5000  6 Cu 2.40-2.65
Zn: 0.5000 0.5000 0.0000  6 Cu 2.40-2.65
Cu: 0.0799 0.0799 0.6880  4 Cu 2.39-2.44, 2 Zn 2.40
Cu: 0.0799 0.6880 0.0799  4 Cu 2.39-2.44, 2 Zn 2.40
Cu: 0.1429 0.5766 0.5766  1 Ni 2.38, 4 Cu 2.44-2.65, 1 Zn 2.65
Cu: 0.3120 0.9201 0.9201  4 Cu 2.39-2.44, 2 Zn 2.40
Cu: 0.4234 0.4234 0.8571  1 Ni 2.38, 4 Cu 2.44-2.65, 1 Zn 2.65
Cu: 0.4234 0.8571 0.4234  1 Ni 2.38, 4 Cu 2.44-2.65, 1 Zn 2.65
Cu: 0.5766 0.1429 0.5766  1 Ni 2.38, 4 Cu 2.44-2.65, 1 Zn 2.65
Cu: 0.5766 0.5766 0.1429  1 Ni 2.38, 4 Cu 2.44-2.65, 1 Zn 2.65
Cu: 0.6880 0.0799 0.0799  4 Cu 2.39-2.44, 2 Zn 2.40
Cu: 0.8571 0.4234 0.4234  1 Ni 2.38, 4 Cu 2.44-2.65, 1 Zn 2.65
Cu: 0.9201 0.3120 0.9201  4 Cu 2.39-2.44, 2 Zn 2.40
Cu: 0.9201 0.9201 0.3120  4 Cu 2.39-2.44, 2 Zn 2.40
Ni: 0.5000 0.5000 0.5000  6 Cu 2.38

uncorrected energy	-3.8560	eV per atom
calculated density	6.89	Mg/m³

Ho3MgAl2 after structural relaxation, computed with PBE.

abc: 5.1402 5.1402 12.5755
angles: 90.00 90.00 120.00
Closest atoms and distances in Å follow each position.
Positions (direct):
Ho: 0.0000 0.0000 0.2442  5 Al 3.07-3.22, 3 Mg 3.16
Ho: 0.0000 0.0000 0.7558  5 Al 3.07-3.22, 3 Mg 3.16
Ho: 0.3333 0.6667 0.4173  4 Al 3.07-3.14, 4 Mg 3.16-3.17
Ho: 0.3333 0.6667 0.9218  7 Al 3.13-3.20, 1 Mg 3.17
Ho: 0.6667 0.3333 0.0782  7 Al 3.13-3.20, 1 Mg 3.17
Ho: 0.6667 0.3333 0.5827  4 Al 3.07-3.14, 4 Mg 3.16-3.17
Mg: 0.3333 0.6667 0.6696  8 Ho 3.16-3.17
Mg: 0.6667 0.3333 0.3304  8 Ho 3.16-3.17
Al: 0.0000 0.0000 0.0000  8 Ho 3.07-3.13
Al: 0.0000 0.0000 0.5000  8 Ho 3.14-3.22
Al: 0.3333 0.6667 0.1733  8 Ho 3.07-3.20
Al: 0.6667 0.3333 0.8267  8 Ho 3.07-3.20

uncorrected energy	-4.1169	eV per atom
calculated density	6.61	Mg/m³
offset from the most stable computed form	0	meV/atom